The following is a DFT calculation (PBE) of a relaxed LaSmMgHg crystal.

Cell and atoms, written as POSCAR:
```
LaSmMgHg
1.0
0.0000 3.8716 3.8716
3.8716 0.0000 3.8716
3.8716 3.8716 0.0000
La Sm Mg Hg
1 1 1 1
direct
0.0000 0.0000 0.0000
0.5000 0.5000 0.5000
0.7500 0.7500 0.7500
0.2500 0.2500 0.2500
```

Computed properties:
* ΔE to the lowest computed polymorph: 24 meV per atom
* spin magnetization: 0.103 μB per cell
* uncorrected energy: -3.154 eV per atom
* formation enthalpy at 0 K: -268 meV per atom
* SG: F-43m